No. 1
Entry from Alexandria via LeMat-Bulk: crystalline ThTcC at its relaxed geometry (PBE-GGA).

abc: 3.406 6.722 9.474
angles: 90.00 90.00 90.00
Positions (direct):
C1 0.750 0.121 0.614
Tc1 0.750 0.656 0.008
Tc2 0.250 0.156 0.492
C2 0.250 0.621 0.886
C3 0.250 0.879 0.386
Th1 0.250 0.987 0.801
Tc3 0.750 0.844 0.508
C4 0.750 0.379 0.114
Tc4 0.250 0.344 0.992
Th2 0.750 0.487 0.699
Th3 0.250 0.513 0.301
Th4 0.750 0.013 0.199

Properties
offset from the most stable computed form: 0 meV/atom
symmetry: Pnma, No. 62
electronic total energy: -9.14 eV per atom
size of the total moment: 0.0 μB per cell

No. 2
Entry from Alexandria via LeMat-Bulk: crystalline Mo4PBr at its relaxed geometry (PBE-GGA).

abc: 5.285 5.285 5.285
angles: 60.00 60.00 60.00
Positions (direct):
P1 0.750 0.750 0.750
Mo1 0.374 0.877 0.374
Mo2 0.374 0.374 0.374
Br1 0.000 0.000 0.000
Mo3 0.374 0.374 0.877
Mo4 0.877 0.374 0.374

Properties
formation energy without anion corrections: 0.9949 eV per atom
symmetry: F-43m, No. 216
electronic total energy: -7.41 eV per atom
size of the total moment: 0.0 μB per cell

V: 18.074 17.397 (Å³ per atom)